The following is a DFT calculation (PBE-GGA) of an optimized crystal structure of Cs2YHgF6.

```
10
Lattice="6.821 0.000 0.000 0.000 6.821 0.000 3.410 3.410 4.822" Properties=species:S:1:pos:R:3 pbc="T T T"
Cs 6.821 3.410 2.411
Cs 3.410 6.821 2.411
Y 3.410 3.410 0.000
Hg 0.000 0.000 0.000
F 3.410 3.410 2.190
F 6.821 6.821 2.632
F 1.862 1.862 0.000
F 4.959 4.959 0.000
F 4.959 1.862 0.000
F 1.862 4.959 0.000
```

Values from the calculation:
- symmetry = Fm-3m, No. 225
- energy relative to the elements, uncorrected (eV/f.u.) = -28.954